Entry 1:
DFT (PBE) results for a geometry-optimized K2RbAu2 structure.

a b c (Å): 9.6027 9.6027 3.9175
angles (deg): 90.00 90.00 90.00
Space group P4/mbm (No. 127)
One atom of each set of equivalent atoms:
1 K 0.1291 0.3709 0.0000 (multiplicity 4)
2 Rb 0.0000 0.0000 0.0000 (multiplicity 2)
3 Au 0.1681 0.6681 0.5000 (multiplicity 4)

Results
Total magnetic moment ... 0.00 μB per formula unit
Energy relative to the lowest polymorph listed for this composition ... 36 meV/atom


Entry 2:
DFT (PBE) results for a geometry-optimized KRbAu2 structure.

a b c (Å): 8.1744 8.1744 8.1744
angles (deg): 90.00 90.00 90.00
Space group Fm-3m (No. 225)
One atom of each set of equivalent atoms:
1 K 0.0000 0.0000 0.0000 (multiplicity 4)
2 Rb 0.0000 0.0000 0.5000 (multiplicity 4)
3 Au 0.2500 0.2500 0.2500 (multiplicity 8)

Results
Total magnetic moment ... 0.00 μB per formula unit
Energy relative to the lowest polymorph listed for this composition ... 29 meV/atom


Entry 3:
DFT (PBE) results for a geometry-optimized KRbAu2 structure.

a b c (Å): 7.8167 7.8167 14.9950
angles (deg): 90.00 90.00 90.00
Space group I-42d (No. 122)
One atom of each set of equivalent atoms:
1 K 0.0000 0.0000 0.0000 (multiplicity 4)
2 Rb 0.0000 0.0000 0.5000 (multiplicity 4)
3 Au 0.2358 0.2500 0.1250 (multiplicity 8)

Results
Total magnetic moment ... 0.00 μB per formula unit
Energy relative to the lowest polymorph listed for this composition ... 148 meV/atom


Entry 4:
DFT (PBE) results for a geometry-optimized K3RbAu2 structure.

a b c (Å): 8.4280 8.4280 4.6899
angles (deg): 90.00 90.00 120.00
Space group P6/mmm (No. 191)
One atom of each set of equivalent atoms:
1 K 0.0000 0.5000 0.0000 (multiplicity 3)
2 Rb 0.0000 0.0000 0.5000 (multiplicity 1)
3 Au 0.3333 0.6667 0.5000 (multiplicity 2)

Results
Total magnetic moment ... 0.00 μB per formula unit
Energy relative to the lowest polymorph listed for this composition ... 36 meV/atom


What is the formula in the fourth record?
K3RbAu2